# Sm2TmCdO PBE relaxed
# **DFT total energy**: -26.3 eV per formula unit
# **Uncorrected formation energy**: -1.3017 eV per atom
# **Magnetic moment**: 0.00 μB/f.u.
data_Sm2TmCdO
_space_group_name_H-M_alt 'P 4/m m m'
_space_group_IT_number 123
_space_group_name_Hall '-P 4 2'
_cell_length_a 4.936
_cell_length_b 4.936
_cell_length_c 4.680
_cell_angle_alpha 90.00
_cell_angle_beta 90.00
_cell_angle_gamma 90.00
loop_
_atom_site_label
_atom_site_type_symbol
_atom_site_fract_x
_atom_site_fract_y
_atom_site_fract_z
_atom_site_occupancy
Sm1 Sm 0.000 0.500 0.000 1
Tm1 Tm 0.000 0.000 0.500 1
Cd1 Cd 0.500 0.500 0.500 1
O1 O 0.000 0.000 0.000 1